Record 1
A relaxed structure of GeBiPd2Se. Source: the Alexandria database, functional PBE.

Values from the calculation:
Total magnetic moment: 0.0 Bohr magnetons per cell
Formation energy (no corrections): 0.358 eV/atom

Cell and atoms, written as POSCAR:
```
GeBiPd2Se
1.0
4.692 0.000 0.000
0.000 5.738 0.000
0.000 0.000 4.692
Ge Se Bi Pd
1 1 1 2
direct
0.500 0.500 0.500
0.000 0.000 0.000
0.000 0.500 0.000
0.000 0.000 0.500
0.500 0.000 0.000
```


Record 2
A relaxed structure of SmGe2Bi2Pd7. Source: the Alexandria database, functional PBE.

Values from the calculation:
Total magnetic moment: 0.0 Bohr magnetons per cell
DFT formation energy: -0.444 eV per atom

Cell and atoms, written as POSCAR:
```
SmGe2Bi2Pd7
1.0
4.094 0.014 -0.104
0.019 4.094 -0.104
1.639 1.637 14.052
Sm Ge Bi Pd
1 2 2 7
direct
0.000 0.000 0.000
0.580 0.580 0.745
0.420 0.420 0.255
0.881 0.881 0.380
0.119 0.119 0.620
0.500 0.500 0.000
0.347 0.347 0.432
0.653 0.653 0.568
0.952 0.453 0.154
0.453 0.952 0.154
0.547 0.048 0.846
0.048 0.547 0.846
```


Record 3
A relaxed structure of Sm2Ge3BiPd4. Source: the Alexandria database, functional PBE.

Values from the calculation:
Total magnetic moment: 0.0 Bohr magnetons per cell
DFT formation energy: -0.714 eV per atom

Cell and atoms, written as POSCAR:
```
Sm2Ge3BiPd4
1.0
-1.687 -2.947 2.726
-0.333 -2.844 -3.280
9.951 -3.679 2.180
Sm Ge Bi Pd
2 3 1 4
direct
0.500 0.000 0.227
0.000 0.500 0.773
0.000 0.000 0.500
0.500 0.000 0.879
0.000 0.500 0.121
0.500 0.500 0.500
0.500 0.500 0.000
0.000 0.000 0.000
0.500 0.000 0.654
0.000 0.500 0.346
```


Record 4
A relaxed structure of Sr2GeBi3Pd4. Source: the Alexandria database, functional PBE.

Values from the calculation:
Total magnetic moment: 0.0 Bohr magnetons per cell
DFT formation energy: -0.577 eV per atom

Cell and atoms, written as POSCAR:
```
Sr2GeBi3Pd4
1.0
4.770 0.000 0.000
0.000 4.770 0.000
0.000 0.000 10.868
Sr Ge Bi Pd
2 1 3 4
direct
0.500 0.000 0.247
0.000 0.500 0.753
0.500 0.500 0.500
0.000 0.000 0.500
0.500 0.000 0.869
0.000 0.500 0.131
0.500 0.500 0.000
0.000 0.000 0.000
0.500 0.000 0.618
0.000 0.500 0.382
```


Record 5
A relaxed structure of Sr3GeBi2Pd9. Source: the Alexandria database, functional PBE.

Values from the calculation:
Total magnetic moment: 0.0 Bohr magnetons per cell
DFT formation energy: -0.376 eV per atom

Cell and atoms, written as POSCAR:
```
Sr3GeBi2Pd9
1.0
-4.853 4.965 0.889
-1.662 -5.978 -3.240
-2.269 -3.624 7.851
Sr Ge Bi Pd
3 1 2 9
direct
0.333 0.667 0.701
0.000 0.000 0.000
0.667 0.333 0.299
0.000 0.000 0.500
0.333 0.667 0.203
0.667 0.333 0.797
0.870 0.130 0.706
0.870 0.739 0.706
0.261 0.130 0.706
0.739 0.870 0.294
0.130 0.261 0.294
0.130 0.870 0.294
0.500 0.000 0.000
0.000 0.500 0.000
0.500 0.500 0.000
```


Record 6
A relaxed structure of Sr2GeBiPd6. Source: the Alexandria database, functional PBE.

Values from the calculation:
Total magnetic moment: 0.0 Bohr magnetons per cell
DFT formation energy: -0.539 eV per atom

Cell and atoms, written as POSCAR:
```
Sr2GeBiPd6
1.0
-5.940 2.399 -3.218
-0.636 -6.453 -1.880
-6.987 -1.242 1.026
Sr Ge Bi Pd
2 1 1 6
direct
0.747 0.220 0.527
0.253 0.780 0.473
0.000 0.000 0.000
0.500 0.500 0.000
0.257 0.246 0.518
0.754 0.608 0.148
0.236 0.753 0.989
0.764 0.247 0.011
0.246 0.392 0.852
0.743 0.754 0.482
```